Below is Tb8Ce after structural relaxation, with properties calculated at the PBE-GGA level.

Results
**Offset from the most stable computed form**: 0 meV/atom
**E_form**: 0.04 eV/atom
**N(E_F)**: 15.1 states/eV/f.u.
**SG**: I4/mmm, No. 139
**Total energy**: -4.736 eV/atom

Unit cell a=5.0393 b=7.9497 c=7.9497 alpha=84.23 beta=71.52 gamma=71.52
Atoms (fractional coordinates):
Tb 0.3348 0.0000 0.3304
Tb 0.6652 0.0000 0.6696
Tb 0.6652 0.6696 0.0000
Tb 0.0000 0.6675 0.3325
Tb 0.3325 0.6675 0.6675
Tb 0.6675 0.3325 0.3325
Tb 0.0000 0.3325 0.6675
Tb 0.3348 0.3304 0.0000
Ce 0.0000 0.0000 0.0000